A plane-wave DFT calculation with PBE was carried out for crystalline BeTePd at its relaxed geometry.

```
BeTePd
1.0
3.141 0.000 0.000
1.570 3.969 0.000
1.532 0.648 9.262
Be Te Pd
2 2 2
Direct
0.160 0.220 0.458 Be
0.840 0.780 0.542 Be
0.282 0.244 0.186 Te
0.718 0.756 0.814 Te
0.480 0.671 0.365 Pd
0.520 0.329 0.635 Pd
```

* formation energy without anion corrections: -359 meV per atom

***

A plane-wave DFT calculation with PBE was carried out for crystalline Ca2YGeN at its relaxed geometry.

```
Ca2YGeN
1.0
4.757 0.000 0.000
0.000 4.757 0.000
0.000 0.000 4.782
Ca Y Ge N
2 1 1 1
Direct
0.000 0.500 0.000 Ca
0.500 0.000 0.000 Ca
0.000 0.000 0.500 Y
0.500 0.500 0.500 Ge
0.000 0.000 0.000 N
```

* formation energy without anion corrections: -946 meV per atom

***

A plane-wave DFT calculation with PBE was carried out for crystalline Na3CeDy2S6 at its relaxed geometry.

```
Na3CeDy2S6
1.0
3.498 -6.060 0.000
3.498 6.060 0.000
-2.333 0.000 6.672
Na Ce Dy S
3 1 2 6
Direct
0.000 0.000 0.000 Na
0.333 0.667 0.000 Na
0.667 0.333 0.000 Na
0.500 0.500 0.500 Ce
0.167 0.833 0.500 Dy
0.833 0.167 0.500 Dy
0.083 0.424 0.272 S
0.235 0.235 0.729 S
0.424 0.083 0.272 S
0.576 0.917 0.728 S
0.765 0.765 0.271 S
0.917 0.576 0.728 S
```

* formation energy without anion corrections: -1806 meV per atom

***

A plane-wave DFT calculation with PBE was carried out for crystalline Ac6PmTe8 at its relaxed geometry.

```
Ac6PmTe8
1.0
0.000 6.656 6.656
6.656 0.000 6.656
6.656 6.656 0.000
Ac Pm Te
6 1 8
Direct
0.000 0.000 0.500 Ac
0.000 0.500 0.000 Ac
0.000 0.500 0.500 Ac
0.500 0.000 0.000 Ac
0.500 0.000 0.500 Ac
0.500 0.500 0.000 Ac
0.000 0.000 0.000 Pm
0.244 0.244 0.756 Te
0.244 0.756 0.244 Te
0.244 0.756 0.756 Te
0.250 0.250 0.250 Te
0.750 0.750 0.750 Te
0.756 0.244 0.244 Te
0.756 0.244 0.756 Te
0.756 0.756 0.244 Te
```

* formation energy without anion corrections: -1513 meV per atom

***

A plane-wave DFT calculation with PBE was carried out for crystalline Zn2MoOs at its relaxed geometry.

```
Zn2MoOs
1.0
2.586 -4.178 0.000
2.586 4.178 0.000
0.000 0.000 2.734
Zn Mo Os
2 1 1
Direct
0.000 0.500 0.000 Zn
0.500 0.000 0.000 Zn
0.000 0.000 0.500 Mo
0.500 0.500 0.500 Os
```

* ΔH_f (0 K): 1.356 eV per formula unit
* polymorph energy (0 for the lowest one): 292.1 meV/atom

***

A plane-wave DFT calculation with PBE was carried out for crystalline KMn2Pb at its relaxed geometry.

```
KMn2Pb
1.0
-2.678 2.678 9.554
2.678 -2.678 9.554
2.678 2.678 -9.554
K Mn Pb
2 4 2
Direct
0.375 0.625 0.750 K
0.625 0.375 0.250 K
0.000 0.000 0.000 Mn
0.000 0.000 0.500 Mn
0.000 0.500 0.000 Mn
0.500 0.000 0.500 Mn
0.125 0.875 0.250 Pb
0.875 0.125 0.750 Pb
```

* ΔH_f (0 K): 3.069 eV per formula unit
* polymorph energy (0 for the lowest one): 260.0 meV/atom

***

A plane-wave DFT calculation with PBE was carried out for crystalline Tm6Zn5Ag at its relaxed geometry.

```
Tm6Zn5Ag
1.0
2.492 -7.479 0.000
2.492 7.479 0.000
0.000 0.000 7.095
Tm Zn Ag
6 5 1
Direct
0.000 0.000 0.246 Tm
0.000 0.000 0.754 Tm
0.332 0.668 0.248 Tm
0.332 0.668 0.752 Tm
0.668 0.332 0.248 Tm
0.668 0.332 0.752 Tm
0.167 0.833 0.000 Zn
0.168 0.832 0.500 Zn
0.500 0.500 0.000 Zn
0.832 0.168 0.500 Zn
0.833 0.167 0.000 Zn
0.500 0.500 0.500 Ag
```

* ΔH_f (0 K): -4.170 eV per formula unit

***

A plane-wave DFT calculation with PBE was carried out for crystalline TlH2PbF8 at its relaxed geometry.

```
TlH2PbF8
1.0
3.725 0.000 0.000
-1.653 4.737 0.000
-0.052 -0.473 8.585
Tl H Pb F
1 2 1 8
Direct
0.000 0.000 0.000 Tl
0.047 0.526 0.237 H
0.953 0.474 0.763 H
0.000 0.000 0.500 Pb
0.030 0.206 0.755 F
0.111 0.347 0.239 F
0.383 0.734 0.521 F
0.399 0.734 0.995 F
0.601 0.266 0.005 F
0.617 0.266 0.479 F
0.889 0.653 0.761 F
0.970 0.794 0.245 F
```

***

Values of VASP energy, in order: -26.3; -28.1; -65.5; -77.2; -23.3; -40.2; -40.2; -48.8, all in eV for the cell shown.